LuFe6Sn6: relaxed, PBE-GGA.

Cell: 5.3943 5.3943 8.9357 Å, 90.00 90.00 120.00°
Last column: nearest neighbours and their distance in Å.
Space group P6/mmm (No. 191)
One atom of each set of equivalent atoms:
Lu (0.0000, 0.0000, 0.0000) x1  8 Sn 3.00-3.11
Fe (0.0000, 0.5000, 0.2464) x6  6 Sn 2.70-2.81, 4 Fe 2.70
Sn (0.0000, 0.0000, 0.3355) x2  6 Fe 2.81, 1 Sn 2.94, 1 Lu 3.00
Sn (0.3333, 0.6667, 0.0000) x2  6 Fe 2.70
Sn (0.3333, 0.6667, 0.5000) x2  6 Fe 2.75

raw total energy = -6.1996 eV/atom
ρ = 9.01 g/cm³
V = 17.3 Å³ per atom